# ZrTiSN2 | the Alexandria database | PBE | optimized geometry
data_ZrTiSN2
_space_group_name_H-M_alt 'P 1'
_space_group_IT_number 1
_cell_length_a 3.886
_cell_length_b 3.886
_cell_length_c 4.686
_cell_angle_alpha 90.00
_cell_angle_beta 90.00
_cell_angle_gamma 90.00
loop_
_space_group_symop_operation_xyz
'x,y,z'
loop_
_atom_site_label
_atom_site_type_symbol
_atom_site_fract_x
_atom_site_fract_y
_atom_site_fract_z
Zr1 Zr 0.000 0.000 0.000
Ti1 Ti 0.500 0.500 0.500
S1 S 0.500 0.500 0.000
N1 N 0.000 0.500 0.500
N2 N 0.500 0.000 0.500
# E_tot ... -7.87 eV per atom
# Formation energy (no corrections) ... -206 kJ/mol of formula units


# YUTc4 | the Alexandria database | PBE | optimized geometry
data_YUTc4
_space_group_name_H-M_alt 'P 1'
_space_group_IT_number 1
_cell_length_a 5.378
_cell_length_b 5.378
_cell_length_c 5.378
_cell_angle_alpha 60.00
_cell_angle_beta 60.00
_cell_angle_gamma 60.00
loop_
_space_group_symop_operation_xyz
'x,y,z'
loop_
_atom_site_label
_atom_site_type_symbol
_atom_site_fract_x
_atom_site_fract_y
_atom_site_fract_z
Y1 Y 0.000 0.000 0.000
U1 U 0.250 0.250 0.250
Tc1 Tc 0.124 0.625 0.625
Tc2 Tc 0.625 0.124 0.625
Tc3 Tc 0.625 0.625 0.124
Tc4 Tc 0.625 0.625 0.625
# E_tot ... -9.84 eV per atom
# Formation enthalpy at 0 K ... 17 kJ/mol of formula units


Question: Which formula does entry 2 have?
Answer: YUTc4


Question: Which value of E_tot does entry 2 give?
Answer: -9.84 eV per atom